The following is a GGA-PBEsol calculation of CrSn2B after structural relaxation, from the Alexandria database.

Cell lengths 4.657, 4.657, 4.657 Å; angles 60.00, 60.00, 60.00 degrees
Site moments in Bohr magnetons follow the coordinates.
Fractional positions:
Sn 0.250 0.250 0.250  -0.03
B 0.000 0.000 0.000  -0.03
Sn 0.750 0.750 0.750  -0.03
Cr 0.500 0.500 0.500  3.31

energy of formation	1.0530	eV/atom
raw total energy	-21.565	eV per cell

---

The following is a GGA-PBEsol calculation of KCdAs2 after structural relaxation, from the Alexandria database.

Cell lengths 3.591, 5.365, 6.210 Å; angles 100.02, 90.00, 109.55 degrees
Fractional positions:
Cd 0.500 0.000 0.000
K 0.000 0.000 0.500
As 0.250 0.500 0.142
As 0.750 0.500 0.858

energy of formation	-0.0941	eV/atom
raw total energy	-12.919	eV per cell

---

The following is a GGA-PBEsol calculation of Sc7Tl after structural relaxation, from the Alexandria database.

Cell lengths 6.385, 6.385, 6.385 Å; angles 60.00, 60.00, 60.00 degrees
Fractional positions:
Sc 0.000 0.500 0.500
Sc 0.500 0.500 0.500
Sc 0.500 0.500 0.000
Sc 0.500 0.000 0.000
Sc 0.000 0.000 0.500
Sc 0.000 0.500 0.000
Sc 0.500 0.000 0.500
Tl 0.000 0.000 0.000

energy of formation	-0.0702	eV/atom
raw total energy	-49.427	eV per cell

---

The following is a GGA-PBEsol calculation of ScHRh2 after structural relaxation, from the Alexandria database.

Cell lengths 4.173, 4.173, 4.173 Å; angles 60.00, 60.00, 60.00 degrees
Fractional positions:
H 0.000 0.000 0.000
Rh 0.750 0.750 0.750
Rh 0.250 0.250 0.250
Sc 0.500 0.500 0.500

raw total energy	-26.024	eV per cell

---

The following is a GGA-PBEsol calculation of FeOsSe2 after structural relaxation, from the Alexandria database.

Cell lengths 3.036, 3.036, 6.147 Å; angles 90.00, 90.00, 90.00 degrees
Site moments in Bohr magnetons follow the coordinates.
Fractional positions:
Fe 0.500 0.500 0.000  2.00
Os 0.500 0.500 0.500  -0.08
Se 0.000 0.000 0.761  -0.02
Se 0.000 0.000 0.239  -0.02

ΔE to the lowest computed polymorph	28.8	kJ/mol of atoms
formation energy (no corrections)	168	kJ/mol of formula units
raw total energy	-27.135	eV per cell

---

The following is a GGA-PBEsol calculation of NaAgSbI2 after structural relaxation, from the Alexandria database.

Cell lengths 5.255, 5.835, 5.835 Å; angles 90.00, 90.00, 90.00 degrees
Site moments in Bohr magnetons follow the coordinates.
Fractional positions:
I 0.000 0.000 0.500  0.06
Sb 0.500 0.000 0.000  0.42
Ag 0.000 0.000 0.000  0.04
I 0.000 0.500 0.000  0.06
Na 0.500 0.500 0.500  0.00

ΔE to the lowest computed polymorph	0.0	kJ/mol of atoms
formation energy (no corrections)	-13	kJ/mol of formula units
raw total energy	-12.932	eV per cell

---

The following is a GGA-PBEsol calculation of CsFeCl3 after structural relaxation, from the Alexandria database.

Cell lengths 5.723, 7.213, 7.213 Å; angles 120.00, 90.00, 90.00 degrees
Site moments in Bohr magnetons follow the coordinates.
Fractional positions:
Cl 0.750 0.158 0.316  0.11
Cl 0.250 0.842 0.684  0.11
Cl 0.750 0.684 0.842  0.11
Cl 0.250 0.842 0.158  0.11
Cs 0.250 0.333 0.667  0.01
Fe 0.500 0.000 0.000  3.46
Cs 0.750 0.667 0.333  0.01
Fe 0.000 0.000 0.000  3.46
Cl 0.250 0.316 0.158  0.11
Cl 0.750 0.158 0.842  0.11

formation energy (no corrections)	-609	kJ/mol of formula units
raw total energy	-44.484	eV per cell

---

The following is a GGA-PBEsol calculation of NaAsRhW2 after structural relaxation, from the Alexandria database.

Cell lengths 4.744, 4.764, 4.764 Å; angles 90.00, 90.00, 90.00 degrees
Site moments in Bohr magnetons follow the coordinates.
Fractional positions:
W 0.000 0.500 0.000  0.68
As 0.500 0.000 0.000  -0.06
Rh 0.000 0.000 0.000  -0.04
W 0.000 0.000 0.500  0.68
Na 0.500 0.500 0.500  0.00

energy of formation	1.7575	eV/atom
raw total energy	-33.472	eV per cell

---

The following is a GGA-PBEsol calculation of Ag2BiP2 after structural relaxation, from the Alexandria database.

Cell lengths 4.437, 4.437, 5.821 Å; angles 112.40, 112.40, 90.00 degrees
Fractional positions:
Ag 0.250 0.750 0.500
Bi 0.000 0.000 0.000
P 0.389 0.389 0.778
Ag 0.750 0.250 0.500
P 0.611 0.611 0.222

energy of formation	0.2360	eV/atom
raw total energy	-21.311	eV per cell

---

The following is a GGA-PBEsol calculation of NaZr3H after structural relaxation, from the Alexandria database.

Cell lengths 4.482, 4.482, 4.482 Å; angles 90.00, 90.00, 90.00 degrees
Fractional positions:
Zr 0.000 0.000 0.500
Zr 0.000 0.500 0.000
Zr 0.500 0.000 0.000
Na 0.500 0.500 0.500
H 0.000 0.000 0.000

raw total energy	-30.853	eV per cell

---

The following is a GGA-PBEsol calculation of Cd2OsSe after structural relaxation, from the Alexandria database.

Cell lengths 3.046, 4.394, 6.442 Å; angles 109.94, 90.00, 90.00 degrees
Fractional positions:
Cd 0.500 0.395 0.790
Cd 0.000 0.064 0.127
Se 0.500 0.686 0.372
Os 0.000 0.841 0.681

formation energy (no corrections)	100	kJ/mol of formula units
raw total energy	-17.423	eV per cell

---

The following is a GGA-PBEsol calculation of Ca2SiHg after structural relaxation, from the Alexandria database.

Cell lengths 3.617, 4.940, 6.217 Å; angles 113.41, 106.91, 90.00 degrees
Fractional positions:
Ca 0.974 0.974 0.947
Hg 0.535 0.535 0.071
Si 0.224 0.724 0.448
Ca 0.767 0.267 0.534

formation energy (no corrections)	-144	kJ/mol of formula units
raw total energy	-12.075	eV per cell